Record 1
The following is a DFT calculation (PBE-GGA) of crystalline SiTcRh2 at its relaxed geometry.

## Properties
- mass density (g/cm³) = 9.99
- N(E_F) (states/eV/atom) = 0.81
- uncorrected formation energy (kJ/mol of formula units) = -97.3
- space-group type = Cmmm

a b c (Å): 4.606 4.606 2.740
angles (deg): 89.99 89.99 108.33
Positions (direct):
Rh: 0.500 0.500 0.000
Rh: 0.000 0.000 0.000
Si: 0.500 0.000 0.500
Tc: 0.000 0.500 0.500



Record 2
The following is a DFT calculation (PBE-GGA) of crystalline Si2TcRh at its relaxed geometry.

## Properties
- mass density (g/cm³) = 5.56
- N(E_F) (states/eV/atom) = 0.23
- uncorrected formation energy (kJ/mol of formula units) = 98.1
- space-group type = I-42d

a b c (Å): 5.481 5.481 6.414
angles (deg): 64.70 64.70 90.00
Positions (direct):
Si: 0.119 0.625 0.250
Si: 0.631 0.125 0.250
Tc: 0.500 0.500 0.000
Si: 0.375 0.369 0.750
Si: 0.875 0.881 0.750
Rh: 0.750 0.250 0.500
Rh: 0.000 0.000 0.000
Tc: 0.250 0.750 0.500



What is the mass density in the second record? 5.56 g/cm³